# 1
The following is a GGA-PBE calculation of a geometry-optimized La4Pm2Dy5 structure, from Alexandria via LeMat-Bulk.

Output
ΔH_f (0 K) = 120 meV per atom
ρ = 7.22 g/cm³
energy above the most stable polymorph in this dataset = 37.0 meV per atom

Structure (CIF):
```
data_La4Pm2Dy5
_space_group_name_H-M_alt 'C 1 2/m 1'
_space_group_IT_number 12
_space_group_name_Hall '-C 2y'
_cell_length_a 24.506
_cell_length_b 3.554
_cell_length_c 8.776
_cell_angle_alpha 90.00
_cell_angle_beta 94.02
_cell_angle_gamma 90.00
loop_
_atom_site_label
_atom_site_type_symbol
_atom_site_fract_x
_atom_site_fract_y
_atom_site_fract_z
La1 La 0.042 0.000 0.341
La2 La 0.089 0.500 0.697
Pm1 Pm 0.226 0.500 0.827
Dy1 Dy 0.000 0.500 0.000
Dy2 Dy 0.132 0.000 0.050
Dy3 Dy 0.188 0.000 0.470
```

***

# 2
The following is a GGA-PBE calculation of a geometry-optimized W2BrCl structure, from Alexandria via LeMat-Bulk.

Output
ρ = 9.44 g/cm³
energy above the most stable polymorph in this dataset = 975.9 meV per atom
formation energy (no corrections) = 906 meV per atom

Structure (CIF):
```
data_W2BrCl
_space_group_name_H-M_alt 'P 1 2/m 1'
_space_group_IT_number 10
_space_group_name_Hall '-P 2y'
_cell_length_a 3.508
_cell_length_b 4.506
_cell_length_c 5.393
_cell_angle_alpha 90.00
_cell_angle_beta 94.84
_cell_angle_gamma 90.00
loop_
_atom_site_label
_atom_site_type_symbol
_atom_site_fract_x
_atom_site_fract_y
_atom_site_fract_z
W1 W 0.217 0.000 0.342
Br1 Br 0.000 0.500 0.000
Cl1 Cl 0.500 0.500 0.500
```

***

# 3
The following is a GGA-PBE calculation of a geometry-optimized Tb5Nd5Sc2 structure, from Alexandria via LeMat-Bulk.

Output
ΔH_f (0 K) = 103 meV per atom
ρ = 6.92 g/cm³
energy above the most stable polymorph in this dataset = 66.9 meV per atom

Structure (CIF):
```
data_Tb5Nd5Sc2
_space_group_name_H-M_alt 'C 1 2/m 1'
_space_group_IT_number 12
_space_group_name_Hall '-C 2y'
_cell_length_a 11.914
_cell_length_b 5.634
_cell_length_c 12.185
_cell_angle_alpha 90.00
_cell_angle_beta 109.68
_cell_angle_gamma 90.00
loop_
_atom_site_label
_atom_site_type_symbol
_atom_site_fract_x
_atom_site_fract_y
_atom_site_fract_z
Tb1 Tb 0.000 0.000 0.000
Tb2 Tb 0.068 0.000 0.744
Tb3 Tb 0.193 0.000 0.533
Nd1 Nd 0.000 0.500 0.500
Nd2 Nd 0.182 0.500 0.969
Nd3 Nd 0.235 0.000 0.271
Sc1 Sc 0.081 0.500 0.210
```

***

# 4
The following is a GGA-PBE calculation of a geometry-optimized La2TaTi structure, from Alexandria via LeMat-Bulk.

Output
ΔH_f (0 K) = 912 meV per atom
ρ = 8.04 g/cm³
energy above the most stable polymorph in this dataset = 357.8 meV per atom

Structure (CIF):
```
data_La2TaTi
_space_group_name_H-M_alt 'I -4 2 d'
_space_group_IT_number 122
_space_group_name_Hall 'I -4 2bw'
_cell_length_a 8.323
_cell_length_b 8.323
_cell_length_c 6.041
_cell_angle_alpha 90.00
_cell_angle_beta 90.00
_cell_angle_gamma 90.00
loop_
_atom_site_label
_atom_site_type_symbol
_atom_site_fract_x
_atom_site_fract_y
_atom_site_fract_z
La1 La 0.249 0.250 0.125
Ta1 Ta 0.000 0.000 0.500
Ti1 Ti 0.000 0.000 0.000
```

***

# 5
The following is a GGA-PBE calculation of a geometry-optimized ZnAg3Au2 structure, from Alexandria via LeMat-Bulk.

Output
ΔH_f (0 K) = -51 meV per atom
ρ = 12.41 g/cm³
energy above the most stable polymorph in this dataset = 18.9 meV per atom

Structure (CIF):
```
data_ZnAg3Au2
_space_group_name_H-M_alt 'C 1 2/m 1'
_space_group_IT_number 12
_space_group_name_Hall '-C 2y'
_cell_length_a 17.211
_cell_length_b 2.982
_cell_length_c 9.591
_cell_angle_alpha 90.00
_cell_angle_beta 121.62
_cell_angle_gamma 90.00
loop_
_atom_site_label
_atom_site_type_symbol
_atom_site_fract_x
_atom_site_fract_y
_atom_site_fract_z
Zn1 Zn 0.104 0.000 0.219
Ag1 Ag 0.065 0.500 0.431
Ag2 Ag 0.107 0.000 0.725
Ag3 Ag 0.236 0.000 0.611
Au1 Au 0.051 0.500 0.921
Au2 Au 0.221 0.000 0.098
```

***

# 6
The following is a GGA-PBE calculation of a geometry-optimized NiRh2Au structure, from Alexandria via LeMat-Bulk.

Output
ΔH_f (0 K) = 181 meV per atom
ρ = 13.20 g/cm³
energy above the most stable polymorph in this dataset = 83.3 meV per atom

Structure (CIF):
```
data_NiRh2Au
_space_group_name_H-M_alt 'I 4/m m m'
_space_group_IT_number 139
_space_group_name_Hall '-I 4 2'
_cell_length_a 3.839
_cell_length_b 3.839
_cell_length_c 7.876
_cell_angle_alpha 90.00
_cell_angle_beta 90.00
_cell_angle_gamma 90.00
loop_
_atom_site_label
_atom_site_type_symbol
_atom_site_fract_x
_atom_site_fract_y
_atom_site_fract_z
Ni1 Ni 0.000 0.000 0.000
Rh1 Rh 0.000 0.500 0.250
Au1 Au 0.000 0.000 0.500
```

***

# 7
The following is a GGA-PBE calculation of a geometry-optimized ZrNbCu structure, from Alexandria via LeMat-Bulk.

Output
ΔH_f (0 K) = -93 meV per atom
ρ = 7.69 g/cm³
energy above the most stable polymorph in this dataset = 0.0 meV per atom

Structure (CIF):
```
data_ZrNbCu
_space_group_name_H-M_alt 'P 4/n m m'
_space_group_IT_number 129
_cell_length_a 3.364
_cell_length_b 3.364
_cell_length_c 9.460
_cell_angle_alpha 90.00
_cell_angle_beta 90.00
_cell_angle_gamma 90.00
loop_
_space_group_symop_operation_xyz
'x,y,z'
'-x,-y,-z'
'-y+1/2,x,z'
'y+1/2,-x,-z'
'-x+1/2,-y+1/2,z'
'x+1/2,y+1/2,-z'
'y,-x+1/2,z'
'-y,x+1/2,-z'
'x+1/2,-y,-z'
'-x+1/2,y,z'
'-y,-x,-z'
'y,x,z'
'-x,y+1/2,-z'
'x,-y+1/2,z'
'y+1/2,x+1/2,-z'
'-y+1/2,-x+1/2,z'
loop_
_atom_site_label
_atom_site_type_symbol
_atom_site_fract_x
_atom_site_fract_y
_atom_site_fract_z
Zr1 Zr 0.250 0.250 0.229
Nb1 Nb 0.250 0.250 0.580
Cu1 Cu 0.250 0.250 0.934
```

***

# 8
The following is a GGA-PBE calculation of a geometry-optimized DyPuCo2 structure, from Alexandria via LeMat-Bulk.

Output
ΔH_f (0 K) = -93 meV per atom
ρ = 11.29 g/cm³

Structure (CIF):
```
data_DyPuCo2
_space_group_name_H-M_alt 'A m m 2'
_space_group_IT_number 38
_space_group_name_Hall 'A 2 -2'
_cell_length_a 3.787
_cell_length_b 3.795
_cell_length_c 10.733
_cell_angle_alpha 90.00
_cell_angle_beta 90.00
_cell_angle_gamma 90.00
loop_
_atom_site_label
_atom_site_type_symbol
_atom_site_fract_x
_atom_site_fract_y
_atom_site_fract_z
Dy1 Dy 0.000 0.000 0.000
Pu1 Pu 0.500 0.000 0.718
Co1 Co 0.000 0.000 0.279
Co2 Co 0.500 0.000 0.415
```

***

# 9
The following is a GGA-PBE calculation of a geometry-optimized Tm2HgRh structure, from Alexandria via LeMat-Bulk.

Output
ΔH_f (0 K) = -649 meV per atom
ρ = 12.17 g/cm³
energy above the most stable polymorph in this dataset = 91.6 meV per atom

Structure (CIF):
```
data_Tm2HgRh
_space_group_name_H-M_alt 'F m -3 m'
_space_group_IT_number 225
_space_group_name_Hall '-F 4 2 3'
_cell_length_a 7.047
_cell_length_b 7.047
_cell_length_c 7.047
_cell_angle_alpha 90.00
_cell_angle_beta 90.00
_cell_angle_gamma 90.00
loop_
_atom_site_label
_atom_site_type_symbol
_atom_site_fract_x
_atom_site_fract_y
_atom_site_fract_z
Tm1 Tm 0.250 0.250 0.250
Hg1 Hg 0.000 0.000 0.000
Rh1 Rh 0.000 0.000 0.500
```

***

# 10
The following is a GGA-PBE calculation of a geometry-optimized LiPm2Nd3Se6 structure, from Alexandria via LeMat-Bulk.

Output
ρ = 6.44 g/cm³
formation energy (no corrections) = -1797 meV per atom

Structure (CIF):
```
data_LiPm2Nd3Se6
_space_group_name_H-M_alt 'C 1 2/m 1'
_space_group_IT_number 12
_space_group_name_Hall '-C 2y'
_cell_length_a 7.226
_cell_length_b 12.559
_cell_length_c 7.262
_cell_angle_alpha 90.00
_cell_angle_beta 109.59
_cell_angle_gamma 90.00
loop_
_atom_site_label
_atom_site_type_symbol
_atom_site_fract_x
_atom_site_fract_y
_atom_site_fract_z
Li1 Li 0.000 0.000 0.000
Pm1 Pm 0.000 0.335 0.000
Nd1 Nd 0.000 0.168 0.500
Nd2 Nd 0.000 0.500 0.500
Se1 Se 0.241 0.000 0.760
Se2 Se 0.241 0.161 0.240
```

***

# 11
The following is a GGA-PBE calculation of a geometry-optimized SmHoGe2 structure, from Alexandria via LeMat-Bulk.

Output
ΔH_f (0 K) = -656 meV per atom
ρ = 7.39 g/cm³
energy above the most stable polymorph in this dataset = 202.8 meV per atom

Structure (CIF):
```
data_SmHoGe2
_space_group_name_H-M_alt 'R -3 m'
_space_group_IT_number 166
_space_group_name_Hall '-R 3 2"'
_cell_length_a 4.2435
_cell_length_b 4.2435
_cell_length_c 19.9078
_cell_angle_alpha 90.00
_cell_angle_beta 90.00
_cell_angle_gamma 120.00
loop_
_atom_site_label
_atom_site_type_symbol
_atom_site_fract_x
_atom_site_fract_y
_atom_site_fract_z
Sm1 Sm 0.0000 0.0000 0.0000
Ho1 Ho 0.0000 0.0000 0.5000
Ge1 Ge 0.0000 0.0000 0.2473
```

***

# 12
The following is a GGA-PBE calculation of a geometry-optimized Pm2HoInN structure, from Alexandria via LeMat-Bulk.

Output
ρ = 8.10 g/cm³
formation energy (no corrections) = -928 meV per atom

Structure (CIF):
```
data_Pm2HoInN
_space_group_name_H-M_alt 'P 4/m m m'
_space_group_IT_number 123
_space_group_name_Hall '-P 4 2'
_cell_length_a 4.998
_cell_length_b 4.998
_cell_length_c 4.794
_cell_angle_alpha 90.00
_cell_angle_beta 90.00
_cell_angle_gamma 90.00
loop_
_atom_site_label
_atom_site_type_symbol
_atom_site_fract_x
_atom_site_fract_y
_atom_site_fract_z
Pm1 Pm 0.000 0.500 0.000
Ho1 Ho 0.000 0.000 0.500
In1 In 0.500 0.500 0.500
N1 N 0.000 0.000 0.000
```